A plane-wave DFT calculation with PBE was carried out for Cd7In5 after structural relaxation.

Output
Formation enthalpy at 0 K: 0.05 eV per atom
Theoretical density: 7.453 g/cm3

Cell and atoms, written as POSCAR:
```
Cd7In5
1.0
-5.1506 1.4258 2.0141
-3.7214 -3.7184 1.2131
0.6834 -3.0274 11.9864
Cd In
7 5
Direct
0.5757 0.0999 0.7487 Cd
0.6652 0.6762 0.9935 Cd
0.4243 0.9001 0.2513 Cd
0.9071 0.4325 0.7533 Cd
0.5000 0.5000 0.5000 Cd
0.0929 0.5675 0.2467 Cd
0.3348 0.3238 0.0065 Cd
0.7572 0.2392 0.2464 In
0.1680 0.1692 0.4948 In
0.0000 0.0000 0.0000 In
0.8320 0.8308 0.5052 In
0.2428 0.7608 0.7536 In
```